Record 1
DFT (PBE) results for an optimized crystal structure of HgH2IrSe.

```
HgH2IrSe
1.0
3.5720 0.0000 0.0000
0.0000 3.5720 0.0000
0.0000 0.0000 5.9054
Hg H Ir Se
1 2 1 1
direct
0.0000 0.0000 0.0000 Hg
0.0000 0.5000 0.0000 H
0.5000 0.0000 0.0000 H
0.0000 0.0000 0.5000 Ir
0.5000 0.5000 0.5000 Se
```

Its raw total energy is -3.36 eV per atom. As for the symmetry: No. 123.


Record 2
DFT (PBE) results for an optimized crystal structure of SrP2IrRu.

```
SrP2IrRu
1.0
-2.0085 2.0085 5.8532
2.0085 -2.0085 5.8532
2.0085 2.0085 -5.8532
Sr P Ir Ru
1 2 1 1
direct
0.0000 0.0000 0.0000 Sr
0.3547 0.3547 0.0000 P
0.6453 0.6453 0.0000 P
0.7500 0.2500 0.5000 Ir
0.2500 0.7500 0.5000 Ru
```

The formation energy is -0.900 eV per atom. As for the symmetry: No. 119.


Record 3
DFT (PBE) results for an optimized crystal structure of Hg2TeRuPt.

```
Hg2TeRuPt
1.0
5.1790 0.0000 0.0000
0.0000 5.1790 0.0000
0.0000 0.0000 5.2549
Hg Te Ru Pt
2 1 1 1
direct
0.0000 0.5000 0.0000 Hg
0.5000 0.0000 0.0000 Hg
0.0000 0.0000 0.5000 Te
0.5000 0.5000 0.5000 Ru
0.0000 0.0000 0.0000 Pt
```

The calculation puts the energy relative to the elements, uncorrected at 981 meV/atom. As for the symmetry: No. 123.


Record 4
DFT (PBE) results for an optimized crystal structure of CaVH.

```
CaVH
1.0
4.8575 0.0000 0.0000
-2.4288 4.2067 0.0000
0.0000 0.0000 2.9043
Ca V H
1 1 1
direct
0.0000 0.0000 0.0000 Ca
0.3333 0.6667 0.0000 V
0.6667 0.3333 0.5000 H
```

Its raw total energy is -3.47 eV per atom. As for the symmetry: No. 187.


Record 5
DFT (PBE) results for an optimized crystal structure of HoMg3In2.

```
HoMg3In2
1.0
8.5175 -2.3837 0.0000
8.5175 2.3837 0.0000
-2.7647 0.0000 7.1448
Ho Mg In
2 6 4
direct
0.1143 0.1143 0.1812 Ho
0.8857 0.8857 0.8188 Ho
0.0711 0.0711 0.7011 Mg
0.2997 0.2997 0.0798 Mg
0.3762 0.3762 0.4986 Mg
0.6238 0.6238 0.5014 Mg
0.7003 0.7003 0.9202 Mg
0.9289 0.9289 0.2989 Mg
0.2399 0.2399 0.6621 In
0.4791 0.4791 0.1638 In
0.5209 0.5209 0.8362 In
0.7601 0.7601 0.3379 In
```

The formation energy is -0.197 eV per atom. As for the symmetry: No. 12.


Record 6
DFT (PBE) results for an optimized crystal structure of Li2Ag5.

```
Li2Ag5
1.0
6.4021 -2.4733 0.0000
6.4021 2.4733 0.0000
-0.5048 0.0000 7.5719
Li Ag
4 10
direct
0.1033 0.7463 0.8962 Li
0.2537 0.8967 0.6038 Li
0.7463 0.1033 0.3962 Li
0.8967 0.2537 0.1038 Li
0.0442 0.3808 0.8203 Ag
0.1886 0.5336 0.5368 Ag
0.3222 0.6778 0.2500 Ag
0.3808 0.0442 0.3203 Ag
0.4664 0.8114 0.9632 Ag
0.5336 0.1886 0.0368 Ag
0.6192 0.9558 0.6797 Ag
0.6778 0.3222 0.7500 Ag
0.8114 0.4664 0.4632 Ag
0.9558 0.6192 0.1797 Ag
```

The formation energy is -0.127 eV per atom. As for the symmetry: No. 15.


Magnetization (Bohr magnetons per cell)
0.00; 0.00; 2.78; 3.77; 0.00; 0.00